No. 1
The following is a PBE calculation of a relaxed structure of CaPt2C, from the Alexandria database.

The structure in POSCAR format:
```
CaPt2C
1.0
5.197 0.000 0.000
0.000 5.197 0.000
2.599 2.599 6.211
Ca C Pt
2 2 4
Direct
0.000 0.000 0.000
0.750 0.250 0.500
0.500 0.500 0.000
0.250 0.750 0.500
0.376 0.125 0.250
0.374 0.625 0.250
0.375 0.624 0.750
0.875 0.626 0.750
```

Calculated values
As for the electronic total energy: -5.93 eV/atom. The volume comes out at 20.97 A^3/atom. For the formation energy, the calculation gives -0.10 eV per atom. The calculation puts the magnetization at 0.00 μB/f.u. The mass density comes out at 8.8 Mg/m³. The space group is I-42d (122).

No. 2
The following is a PBE calculation of a relaxed structure of Ca2PtC, from the Alexandria database.

The structure in POSCAR format:
```
Ca2PtC
1.0
10.102 0.000 0.000
0.000 10.102 0.000
5.051 5.051 1.945
Ca C Pt
4 2 2
Direct
0.430 0.125 0.250
0.320 0.625 0.250
0.375 0.570 0.750
0.875 0.680 0.750
0.500 0.500 0.000
0.250 0.750 0.500
0.000 0.000 0.000
0.750 0.250 0.500
```

Calculated values
As for the electronic total energy: -5.11 eV/atom. The volume comes out at 24.81 A^3/atom. For the formation energy, the calculation gives -0.30 eV per atom. The calculation puts the magnetization at 0.00 μB/f.u. The mass density comes out at 4.8 Mg/m³. The space group is I-42d (122).

No. 3
The following is a PBE calculation of a relaxed structure of CaRePtC2, from the Alexandria database.

The structure in POSCAR format:
```
CaRePtC2
1.0
3.989 0.000 0.000
0.000 6.190 0.000
0.000 0.000 3.989
Re Ca C Pt
1 1 2 1
Direct
0.000 0.000 0.000
0.000 0.500 0.000
0.000 0.000 0.500
0.500 0.000 0.000
0.500 0.500 0.500
```

Calculated values
As for the electronic total energy: -6.43 eV/atom. The volume comes out at 19.70 A^3/atom. For the formation energy, the calculation gives 1.35 eV per atom. The calculation puts the magnetization at 1.04 μB/f.u. The mass density comes out at 7.5 Mg/m³. The space group is P4/mmm (123).

No. 4
The following is a PBE calculation of a relaxed structure of Ca2Si2Pt2C, from the Alexandria database.

The structure in POSCAR format:
```
Ca2Si2Pt2C
1.0
4.084 0.009 -0.018
2.055 5.984 -0.025
2.020 0.950 5.240
C Ca Si Pt
1 2 2 2
Direct
0.000 0.000 0.000
0.556 0.176 0.710
0.444 0.824 0.290
0.136 0.426 0.294
0.864 0.574 0.706
0.212 0.721 0.867
0.788 0.279 0.133
```

Calculated values
As for the electronic total energy: -5.69 eV/atom. The volume comes out at 18.32 A^3/atom. The formation energy from raw total energies comes out at -50.70 kJ per mole of atoms. The calculation puts the magnetization at 0.00 μB/f.u. The mass density comes out at 7.0 Mg/m³. The space group is P-1 (2).

No. 5
The following is a PBE calculation of a relaxed structure of CaTePtC2, from the Alexandria database.

The structure in POSCAR format:
```
CaTePtC2
1.0
-2.601 -3.193 0.006
2.744 -2.227 4.587
-2.527 2.063 2.513
Ca Te C Pt
1 1 2 1
Direct
0.500 0.500 0.500
0.000 0.500 0.000
0.000 0.000 0.500
0.500 0.000 0.000
0.000 0.000 0.000
```

Calculated values
As for the electronic total energy: -4.92 eV/atom. The volume comes out at 19.64 A^3/atom. The formation energy from raw total energies comes out at 97.22 kJ per mole of atoms. The calculation puts the magnetization at 0.30 μB/f.u. The mass density comes out at 6.5 Mg/m³. The space group is P4/mmm (123).

No. 6
The following is a PBE calculation of a relaxed structure of CaTiPtC2, from the Alexandria database.

The structure in POSCAR format:
```
CaTiPtC2
1.0
-2.640 -2.908 1.365
1.939 -3.250 -3.172
2.766 -1.160 2.879
Ca C Pt Ti
1 2 1 1
Direct
0.500 0.500 0.500
0.000 0.000 0.500
0.500 0.000 0.000
0.000 0.000 0.000
0.000 0.500 0.000
```

Calculated values
As for the electronic total energy: -5.37 eV/atom. The volume comes out at 17.07 A^3/atom. For the formation energy, the calculation gives 1.51 eV per atom. The calculation puts the magnetization at 1.76 μB/f.u. The mass density comes out at 6.0 Mg/m³. The space group is P4/mmm (123).